{"formula": "RbMgZn3", "functional": "PBE", "state": "optimized geometry", "lattice": [[5.3904, 0.0000, 0.0000], [0.0000, 5.3904, 0.0000], [0.0000, 0.0000, 5.3904]], "species": ["Zn", "Zn", "Zn", "Rb", "Mg"], "frac_coords": [[0.0000, 0.5000, 0.0000], [0.0000, 0.0000, 0.5000], [0.5000, 0.0000, 0.0000], [0.5000, 0.5000, 0.5000], [0.0000, 0.0000, 0.0000]], "formation_enthalpy_0k_ev_per_atom": 0.306, "spacegroup": "Pm-3m (221)", "crystal_system": "cubic", "magnetic_moment_mub_per_cell": 0.00}